[1]
# PBE Pu6SnBi2, optimized geometry
data_Pu6SnBi2
_cell_length_a 9.0028
_cell_length_b 9.0028
_cell_length_c 3.4515
_cell_angle_alpha 90.00
_cell_angle_beta 90.00
_cell_angle_gamma 120.00
_symmetry_space_group_name_H-M 'P 6/m m m'
_symmetry_Int_Tables_number 191
_symmetry_space_group_name_Hall '-P 6 2'
loop_
_atom_site_label
_atom_site_fract_x
_atom_site_fract_y
_atom_site_fract_z
Pu1 0.0000 0.3309 0.0000
Sn1 0.0000 0.0000 0.5000
Bi1 0.3333 0.6667 0.5000
# - magnetic moment (μB per cell) = 37.6
# - DFT formation energy (meV per atom) = -95

[2]
# PBE Pu2Sn4Bi, optimized geometry
data_Pu2Sn4Bi
_cell_length_a 9.2067
_cell_length_b 9.2256
_cell_length_c 6.6213
_cell_angle_alpha 90.00
_cell_angle_beta 133.90
_cell_angle_gamma 90.00
_symmetry_space_group_name_H-M 'C 1 2/m 1'
_symmetry_Int_Tables_number 12
_symmetry_space_group_name_Hall '-C 2y'
loop_
_atom_site_label
_atom_site_fract_x
_atom_site_fract_y
_atom_site_fract_z
Pu1 0.2500 0.2500 0.0000
Sn1 0.0000 0.0000 0.5000
Sn2 0.0000 0.5000 0.5000
Sn3 0.2500 0.2500 0.5000
Bi1 0.0000 0.0000 0.0000
# - magnetic moment (μB per cell) = 22.8
# - DFT formation energy (meV per atom) = -191

[3]
# PBE PuSn2Bi, optimized geometry
data_PuSn2Bi
_cell_length_a 4.6960
_cell_length_b 4.6960
_cell_length_c 4.8992
_cell_angle_alpha 90.00
_cell_angle_beta 90.00
_cell_angle_gamma 90.00
_symmetry_space_group_name_H-M 'P 4/m m m'
_symmetry_Int_Tables_number 123
_symmetry_space_group_name_Hall '-P 4 2'
loop_
_atom_site_label
_atom_site_fract_x
_atom_site_fract_y
_atom_site_fract_z
Pu1 0.0000 0.0000 0.0000
Sn1 0.0000 0.5000 0.5000
Bi1 0.5000 0.5000 0.0000
# - magnetic moment (μB per cell) = 5.4
# - DFT formation energy (meV per atom) = -291

[4]
# PBE Pu2SnBi4, optimized geometry
data_Pu2SnBi4
_cell_length_a 9.2289
_cell_length_b 9.7086
_cell_length_c 9.8016
_cell_angle_alpha 90.00
_cell_angle_beta 90.00
_cell_angle_gamma 90.00
_symmetry_space_group_name_H-M 'F m m m'
_symmetry_Int_Tables_number 69
_symmetry_space_group_name_Hall '-F 2 2'
loop_
_atom_site_label
_atom_site_fract_x
_atom_site_fract_y
_atom_site_fract_z
Pu1 0.0000 0.2500 0.2500
Sn1 0.0000 0.0000 0.0000
Bi1 0.2500 0.0000 0.2500
Bi2 0.2500 0.2500 0.0000
# - magnetic moment (μB per cell) = 44.4
# - DFT formation energy (meV per atom) = -219

[5]
# PBE PuSnBi2, optimized geometry
data_PuSnBi2
_cell_length_a 4.8998
_cell_length_b 4.8998
_cell_length_c 4.7631
_cell_angle_alpha 90.00
_cell_angle_beta 90.00
_cell_angle_gamma 90.00
_symmetry_space_group_name_H-M 'P 4/m m m'
_symmetry_Int_Tables_number 123
_symmetry_space_group_name_Hall '-P 4 2'
loop_
_atom_site_label
_atom_site_fract_x
_atom_site_fract_y
_atom_site_fract_z
Pu1 0.0000 0.0000 0.0000
Sn1 0.5000 0.5000 0.0000
Bi1 0.0000 0.5000 0.5000
# - magnetic moment (μB per cell) = 5.4
# - DFT formation energy (meV per atom) = -251

[6]
# PBE PuSnBi2, optimized geometry
data_PuSnBi2
_cell_length_a 5.0153
_cell_length_b 5.0153
_cell_length_c 18.6998
_cell_angle_alpha 90.00
_cell_angle_beta 90.00
_cell_angle_gamma 120.00
_symmetry_space_group_name_H-M 'R 3 m'
_symmetry_Int_Tables_number 160
_symmetry_space_group_name_Hall 'R 3 -2"'
loop_
_atom_site_label
_atom_site_fract_x
_atom_site_fract_y
_atom_site_fract_z
Pu1 0.0000 0.0000 0.0000
Sn1 0.0000 0.0000 0.1789
Bi1 0.0000 0.0000 0.4120
Bi2 0.0000 0.0000 0.5882
# - magnetic moment (μB per cell) = 16.8
# - DFT formation energy (meV per atom) = -12

[7]
# PBE PuSn2Bi, optimized geometry
data_PuSn2Bi
_cell_length_a 4.1382
_cell_length_b 4.1382
_cell_length_c 6.5051
_cell_angle_alpha 90.00
_cell_angle_beta 90.00
_cell_angle_gamma 90.00
_symmetry_space_group_name_H-M 'P 4/m m m'
_symmetry_Int_Tables_number 123
_symmetry_space_group_name_Hall '-P 4 2'
loop_
_atom_site_label
_atom_site_fract_x
_atom_site_fract_y
_atom_site_fract_z
Pu1 0.0000 0.0000 0.0000
Sn1 0.5000 0.5000 0.2514
Bi1 0.0000 0.0000 0.5000
# - magnetic moment (μB per cell) = 5.9
# - DFT formation energy (meV per atom) = -121

[8]
# PBE PuSnBi2, optimized geometry
data_PuSnBi2
_cell_length_a 4.4522
_cell_length_b 4.4522
_cell_length_c 23.4234
_cell_angle_alpha 90.00
_cell_angle_beta 90.00
_cell_angle_gamma 120.00
_symmetry_space_group_name_H-M 'R -3 m'
_symmetry_Int_Tables_number 166
_symmetry_space_group_name_Hall '-R 3 2"'
loop_
_atom_site_label
_atom_site_fract_x
_atom_site_fract_y
_atom_site_fract_z
Pu1 0.0000 0.0000 0.0000
Sn1 0.0000 0.0000 0.5000
Bi1 0.0000 0.0000 0.2508
# - magnetic moment (μB per cell) = 15.6
# - DFT formation energy (meV per atom) = 3

[9]
# PBE Pu3SnBi3, optimized geometry
data_Pu3SnBi3
_cell_length_a 11.4910
_cell_length_b 11.4910
_cell_length_c 3.4712
_cell_angle_alpha 90.00
_cell_angle_beta 90.00
_cell_angle_gamma 120.00
_symmetry_space_group_name_H-M 'P 63/m'
_symmetry_Int_Tables_number 176
_symmetry_space_group_name_Hall '-P 6c'
loop_
_atom_site_label
_atom_site_fract_x
_atom_site_fract_y
_atom_site_fract_z
Pu1 0.0605 0.5706 0.2500
Sn1 0.3333 0.6667 0.7500
Bi1 0.1058 0.3192 0.2500
# - magnetic moment (μB per cell) = 0.0
# - DFT formation energy (meV per atom) = 151

[10]
# PBE Pu2Sn3Bi3, optimized geometry
data_Pu2Sn3Bi3
_cell_length_a 4.7586
_cell_length_b 4.9251
_cell_length_c 9.4942
_cell_angle_alpha 90.00
_cell_angle_beta 90.00
_cell_angle_gamma 90.00
_symmetry_space_group_name_H-M 'P m m m'
_symmetry_Int_Tables_number 47
_symmetry_space_group_name_Hall '-P 2 2'
loop_
_atom_site_label
_atom_site_fract_x
_atom_site_fract_y
_atom_site_fract_z
Pu1 0.0000 0.0000 0.2451
Sn1 0.0000 0.5000 0.0000
Sn2 0.5000 0.5000 0.2435
Bi1 0.0000 0.5000 0.5000
Bi2 0.5000 0.0000 0.0000
Bi3 0.5000 0.0000 0.5000
# - magnetic moment (μB per cell) = 10.8
# - DFT formation energy (meV per atom) = -269

[11]
# PBE PuSnBi2, optimized geometry
data_PuSnBi2
_cell_length_a 4.6892
_cell_length_b 4.6892
_cell_length_c 10.5030
_cell_angle_alpha 90.00
_cell_angle_beta 90.00
_cell_angle_gamma 90.00
_symmetry_space_group_name_H-M 'I 4/m m m'
_symmetry_Int_Tables_number 139
_symmetry_space_group_name_Hall '-I 4 2'
loop_
_atom_site_label
_atom_site_fract_x
_atom_site_fract_y
_atom_site_fract_z
Pu1 0.0000 0.0000 0.0000
Sn1 0.0000 0.0000 0.5000
Bi1 0.0000 0.5000 0.2500
# - magnetic moment (μB per cell) = 11.7
# - DFT formation energy (meV per atom) = -212

[12]
# PBE PuThSnBi, optimized geometry
data_PuThSnBi
_cell_length_a 7.7656
_cell_length_b 7.7656
_cell_length_c 7.7656
_cell_angle_alpha 90.00
_cell_angle_beta 90.00
_cell_angle_gamma 90.00
_symmetry_space_group_name_H-M 'F -4 3 m'
_symmetry_Int_Tables_number 216
_symmetry_space_group_name_Hall 'F -4 2 3'
loop_
_atom_site_label
_atom_site_fract_x
_atom_site_fract_y
_atom_site_fract_z
Pu1 0.0000 0.0000 0.0000
Th1 0.0000 0.0000 0.5000
Sn1 0.2500 0.2500 0.7500
Bi1 0.2500 0.2500 0.2500
# - magnetic moment (μB per cell) = 24.7
# - DFT formation energy (meV per atom) = -330